# LaThZnGa, relaxed, DFT GGA-PBE
data_LaThZnGa
_cell_length_a 7.437
_cell_length_b 7.437
_cell_length_c 7.437
_cell_angle_alpha 90.00
_cell_angle_beta 90.00
_cell_angle_gamma 90.00
_space_group_name_H-M_alt 'F -4 3 m'
_space_group_IT_number 216
_space_group_name_Hall 'F -4 2 3'
loop_
_atom_site_label
_atom_site_type_symbol
_atom_site_fract_x
_atom_site_fract_y
_atom_site_fract_z
La1 La 0.000 0.000 0.000
Th1 Th 0.000 0.000 0.500
Zn1 Zn 0.250 0.250 0.750
Ga1 Ga 0.250 0.250 0.250
# - total magnetic moment (μB per cell) = 0.00
# - energy of formation (eV/f.u.) = -1.4
# - DOS at the Fermi energy (states/eV/f.u.) = 3.8